Entry from Alexandria: Mg5Ga6 after structural relaxation (PBE).

The structure belongs to space group Cmmm (No. 65); the cell edges are 4.428, 29.266 and 3.301 Å and the angles 90.00°, 90.00° and 90.00°. The asymmetric unit holds Mg at (0.000, 0.000, 0.000), Mg at (0.000, 0.191, 0.500), Mg at (0.000, 0.372, 0.000), Ga at (0.000, 0.093, 0.500), Ga at (0.000, 0.276, 0.000) and Ga at (0.000, 0.456, 0.500).

The value obtained for the calculated total energy is -55.06 eV/cell.